Record 1
# PBE YReAg2, optimized geometry
# size of the total moment: 0.00 μB/cell
# energy of formation from the pure elements: 0.408 eV per atom
data_YReAg2
_chemical_formula_sum 'Y1 Re1 Ag2'
_space_group_name_H-M_alt 'P 1 m 1'
_space_group_IT_number 6
_cell_length_a 2.807
_cell_length_b 4.691
_cell_length_c 5.908
_cell_angle_alpha 90.00
_cell_angle_beta 103.66
_cell_angle_gamma 90.00
loop_
_space_group_symop_operation_xyz
'x,y,z'
'x,-y,z'
loop_
_atom_site_label
_atom_site_type_symbol
_atom_site_fract_x
_atom_site_fract_y
_atom_site_fract_z
_atom_site_occupancy
Y1 Y 0.000 0.000 0.000 1
Re1 Re 0.363 0.500 0.725 1
Ag1 Ag 0.630 0.500 0.260 1
Ag2 Ag 0.753 0.000 0.507 1

=====

Record 2
# PBE BaNaCe2Se4, optimized geometry
# size of the total moment: 10.36 μB/cell
# raw total energy: -5.36 eV per atom
data_BaNaCe2Se4
_chemical_formula_sum 'Ba4 Na4 Ce8 Se16'
_space_group_name_H-M_alt 'I m m a'
_space_group_IT_number 74
_space_group_name_Hall '-I 2b 2'
_cell_length_a 8.778
_cell_length_b 8.809
_cell_length_c 12.422
_cell_angle_alpha 90.00
_cell_angle_beta 90.00
_cell_angle_gamma 90.00
loop_
_atom_site_label
_atom_site_type_symbol
_atom_site_fract_x
_atom_site_fract_y
_atom_site_fract_z
_atom_site_occupancy
Ba1 Ba 0.250 0.250 0.250 1
Na1 Na 0.000 0.000 0.000 1
Ce1 Ce 0.000 0.000 0.500 1
Ce2 Ce 0.250 0.250 0.750 1
Se1 Se 0.000 0.019 0.746 1
Se2 Se 0.239 0.250 0.510 1

=====

Record 3
# PBE Nd2ZnRu, optimized geometry
# size of the total moment: 0.00 μB/cell
# energy of formation from the pure elements: -0.217 eV per atom
data_Nd2ZnRu
_chemical_formula_sum 'Nd8 Zn4 Ru4'
_space_group_name_H-M_alt 'F m -3 m'
_space_group_IT_number 225
_space_group_name_Hall '-F 4 2 3'
_cell_length_a 7.191
_cell_length_b 7.191
_cell_length_c 7.191
_cell_angle_alpha 90.00
_cell_angle_beta 90.00
_cell_angle_gamma 90.00
loop_
_atom_site_label
_atom_site_type_symbol
_atom_site_fract_x
_atom_site_fract_y
_atom_site_fract_z
_atom_site_occupancy
Nd1 Nd 0.250 0.250 0.250 1
Zn1 Zn 0.000 0.000 0.000 1
Ru1 Ru 0.000 0.000 0.500 1

=====

Record 4
# PBE RbIF3, optimized geometry
# size of the total moment: 3.00 μB/cell
# raw total energy: -2.46 eV per atom
data_RbIF3
_chemical_formula_sum 'Rb1 I1 F3'
_space_group_name_H-M_alt 'P m -3 m'
_space_group_IT_number 221
_space_group_name_Hall '-P 4 2 3'
_cell_length_a 5.077
_cell_length_b 5.077
_cell_length_c 5.077
_cell_angle_alpha 90.00
_cell_angle_beta 90.00
_cell_angle_gamma 90.00
loop_
_atom_site_label
_atom_site_type_symbol
_atom_site_fract_x
_atom_site_fract_y
_atom_site_fract_z
_atom_site_occupancy
Rb1 Rb 0.000 0.000 0.000 1
I1 I 0.500 0.500 0.500 1
F1 F 0.000 0.000 0.500 1

=====

Record 5
# PBE InS2N, optimized geometry
# size of the total moment: 0.00 μB/cell
# raw total energy: -4.48 eV per atom
data_InS2N
_chemical_formula_sum 'In2 S4 N2'
_space_group_name_H-M_alt 'C 1 m 1'
_space_group_IT_number 8
_cell_length_a 6.753
_cell_length_b 3.894
_cell_length_c 7.519
_cell_angle_alpha 90.00
_cell_angle_beta 90.48
_cell_angle_gamma 90.00
loop_
_space_group_symop_operation_xyz
'x,y,z'
'x,-y,z'
'x+1/2,y+1/2,z'
'x+1/2,-y+1/2,z'
loop_
_atom_site_label
_atom_site_type_symbol
_atom_site_fract_x
_atom_site_fract_y
_atom_site_fract_z
_atom_site_occupancy
In1 In 0.000 0.000 0.000 1
S1 S 0.165 0.500 0.736 1
S2 S 0.335 0.000 0.158 1
N1 N 0.164 0.500 0.536 1

=====

Record 6
# PBE Ag2MoOs, optimized geometry
# size of the total moment: 0.00 μB/cell
# energy of formation from the pure elements: 1.039 eV per atom
data_Ag2MoOs
_chemical_formula_sum 'Ag8 Mo4 Os4'
_space_group_name_H-M_alt 'F m -3 m'
_space_group_IT_number 225
_space_group_name_Hall '-F 4 2 3'
_cell_length_a 6.366
_cell_length_b 6.366
_cell_length_c 6.366
_cell_angle_alpha 90.00
_cell_angle_beta 90.00
_cell_angle_gamma 90.00
loop_
_atom_site_label
_atom_site_type_symbol
_atom_site_fract_x
_atom_site_fract_y
_atom_site_fract_z
_atom_site_occupancy
Ag1 Ag 0.250 0.250 0.250 1
Mo1 Mo 0.000 0.000 0.000 1
Os1 Os 0.000 0.000 0.500 1

=====

Record 7
# PBE Zr2Ti3Co4, optimized geometry
# size of the total moment: 0.00 μB/cell
# energy of formation from the pure elements: -0.322 eV per atom
data_Zr2Ti3Co4
_chemical_formula_sum 'Zr4 Ti6 Co8'
_space_group_name_H-M_alt 'P 1 21/c 1'
_space_group_IT_number 14
_cell_length_a 6.061
_cell_length_b 7.126
_cell_length_c 6.805
_cell_angle_alpha 90.00
_cell_angle_beta 111.35
_cell_angle_gamma 90.00
loop_
_space_group_symop_operation_xyz
'x,y,z'
'-x,-y,-z'
'-x,y+1/2,-z+1/2'
'x,-y+1/2,z+1/2'
loop_
_atom_site_label
_atom_site_type_symbol
_atom_site_fract_x
_atom_site_fract_y
_atom_site_fract_z
_atom_site_occupancy
Zr1 Zr 0.163 0.194 0.069 1
Ti1 Ti 0.276 0.593 0.294 1
Ti2 Ti 0.500 0.000 0.500 1
Co1 Co 0.108 0.563 0.864 1
Co2 Co 0.393 0.651 0.648 1

=====

Record 8
# PBE AlTl2Zn, optimized geometry
# size of the total moment: 0.00 μB/cell
# energy of formation from the pure elements: 0.267 eV per atom
data_AlTl2Zn
_chemical_formula_sum 'Al1 Tl2 Zn1'
_space_group_name_H-M_alt 'P 4/m m m'
_space_group_IT_number 123
_space_group_name_Hall '-P 4 2'
_cell_length_a 3.281
_cell_length_b 3.281
_cell_length_c 9.012
_cell_angle_alpha 90.00
_cell_angle_beta 90.00
_cell_angle_gamma 90.00
loop_
_atom_site_label
_atom_site_type_symbol
_atom_site_fract_x
_atom_site_fract_y
_atom_site_fract_z
_atom_site_occupancy
Al1 Al 0.000 0.000 0.000 1
Tl1 Tl 0.500 0.500 0.255 1
Zn1 Zn 0.000 0.000 0.500 1

=====

Record 9
# PBE DyPaAu, optimized geometry
# size of the total moment: 0.36 μB/cell
# energy of formation from the pure elements: -0.012 eV per atom
data_DyPaAu
_chemical_formula_sum 'Dy1 Pa1 Au1'
_space_group_name_H-M_alt 'P 3 m 1'
_space_group_IT_number 156
_cell_length_a 5.0445
_cell_length_b 5.0445
_cell_length_c 3.3054
_cell_angle_alpha 90.00
_cell_angle_beta 90.00
_cell_angle_gamma 120.00
loop_
_space_group_symop_operation_xyz
'x,y,z'
'-y,x-y,z'
'-x+y,-x,z'
'-y,-x,z'
'-x+y,y,z'
'x,x-y,z'
loop_
_atom_site_label
_atom_site_type_symbol
_atom_site_fract_x
_atom_site_fract_y
_atom_site_fract_z
_atom_site_occupancy
Dy1 Dy 0.0000 0.0000 0.0000 1
Pa1 Pa 0.3333 0.6667 0.4105 1
Au1 Au 0.6667 0.3333 0.6491 1

=====

Record 10
# PBE P3OsBr, optimized geometry
# size of the total moment: 0.00 μB/cell
# raw total energy: -5.17 eV per atom
data_P3OsBr
_chemical_formula_sum 'P3 Os1 Br1'
_space_group_name_H-M_alt 'P m -3 m'
_space_group_IT_number 221
_space_group_name_Hall '-P 4 2 3'
_cell_length_a 4.649
_cell_length_b 4.649
_cell_length_c 4.649
_cell_angle_alpha 90.00
_cell_angle_beta 90.00
_cell_angle_gamma 90.00
loop_
_atom_site_label
_atom_site_type_symbol
_atom_site_fract_x
_atom_site_fract_y
_atom_site_fract_z
_atom_site_occupancy
P1 P 0.000 0.000 0.500 1
Os1 Os 0.000 0.000 0.000 1
Br1 Br 0.500 0.500 0.500 1

=====

Record 11
# PBE SrAlCuPt, optimized geometry
# size of the total moment: 0.00 μB/cell
# energy of formation from the pure elements: -0.662 eV per atom
data_SrAlCuPt
_chemical_formula_sum 'Sr2 Al2 Cu2 Pt2'
_space_group_name_H-M_alt 'C 1 m 1'
_space_group_IT_number 8
_cell_length_a 7.570
_cell_length_b 4.372
_cell_length_c 5.931
_cell_angle_alpha 90.00
_cell_angle_beta 115.36
_cell_angle_gamma 90.00
loop_
_space_group_symop_operation_xyz
'x,y,z'
'x,-y,z'
'x+1/2,y+1/2,z'
'x+1/2,-y+1/2,z'
loop_
_atom_site_label
_atom_site_type_symbol
_atom_site_fract_x
_atom_site_fract_y
_atom_site_fract_z
_atom_site_occupancy
Sr1 Sr 0.000 0.000 0.000 1
Al1 Al 0.011 0.500 0.532 1
Cu1 Cu 0.309 0.500 0.430 1
Pt1 Pt 0.194 0.000 0.583 1

=====

Record 12
# PBE MgMoRh2, optimized geometry
# size of the total moment: 0.30 μB/cell
# energy of formation from the pure elements: -0.197 eV per atom
data_MgMoRh2
_chemical_formula_sum 'Mg2 Mo2 Rh4'
_space_group_name_H-M_alt 'I 4/m m m'
_space_group_IT_number 139
_space_group_name_Hall '-I 4 2'
_cell_length_a 4.094
_cell_length_b 4.094
_cell_length_c 7.187
_cell_angle_alpha 90.00
_cell_angle_beta 90.00
_cell_angle_gamma 90.00
loop_
_atom_site_label
_atom_site_type_symbol
_atom_site_fract_x
_atom_site_fract_y
_atom_site_fract_z
_atom_site_occupancy
Mg1 Mg 0.000 0.000 0.000 1
Mo1 Mo 0.000 0.000 0.500 1
Rh1 Rh 0.000 0.500 0.250 1